Compound: Pu8Ga2Si
Source: Alexandria
Functional: GGA-PBE
Structure: relaxed

Values from the calculation:
VASP energy: -126.95 eV for the cell shown
Density: 14.866 g/cm³
Formation energy (no corrections): -0.82 eV/f.u.
D(E_F): 42.79 states/eV per cell

Cell lengths 4.0692, 8.2940, 8.3990 Å; angles 119.59, 104.02, 90.00 degrees
With the nearest neighbours (Å) after each atom.
Fractional positions:
Pu1 0.3392 0.0782 0.6783  4 Pu 2.84-3.06, 3 Ga 2.98-3.04, 1 Si 3.00
Pu2 0.6608 0.3999 0.3217  4 Pu 2.84-3.06, 3 Ga 2.98-3.04, 1 Si 3.00
Pu3 0.1588 0.1588 0.3176  4 Pu 2.84, 2 Si 3.02, 2 Ga 3.10
Pu4 0.6608 0.9218 0.3217  4 Pu 2.84-3.06, 3 Ga 2.98-3.04, 1 Si 3.00
Pu5 0.8412 0.8412 0.6824  4 Pu 2.84, 2 Si 3.02, 2 Ga 3.10
Pu6 0.0000 0.7204 0.0000  2 Ga 3.06, 6 Pu 3.06-3.22, 2 Si 3.08
Pu7 0.0000 0.2796 0.0000  2 Ga 3.06, 6 Pu 3.06-3.22, 2 Si 3.08
Pu8 0.3392 0.6001 0.6783  4 Pu 2.84-3.06, 3 Ga 2.98-3.04, 1 Si 3.00
Ga1 0.1746 0.6746 0.3492  10 Pu 2.98-3.10
Ga2 0.8254 0.3254 0.6508  10 Pu 2.98-3.10
Si1 0.5000 0.0000 0.0000  12 Pu 3.00-3.08

***

Compound: PuGaSi2
Source: Alexandria
Functional: GGA-PBE
Structure: relaxed

Values from the calculation:
VASP energy: -29.54 eV for the cell shown
Density: 8.731 g/cm³
Relative energy among the computed polymorphs: 0.000 eV/atom
Formation energy (no corrections): -1.34 eV/f.u.
D(E_F): 7.82 states/eV per cell

Cell lengths 4.0414, 4.1722, 4.1722 Å; angles 90.00, 90.00, 90.00 degrees
With the nearest neighbours (Å) after each atom.
Fractional positions:
Ga1 0.5000 0.5000 0.5000  8 Si 2.90, 4 Pu 2.95
Pu1 0.5000 0.0000 0.0000  8 Si 2.90, 4 Ga 2.95
Si1 0.0000 0.0000 0.5000  4 Pu 2.90, 4 Ga 2.90, 4 Si 2.95
Si2 0.0000 0.5000 0.0000  4 Pu 2.90, 4 Ga 2.90, 4 Si 2.95

***

Compound: Pu3GaSi4
Source: Alexandria
Functional: GGA-PBE
Structure: relaxed

Values from the calculation:
VASP energy: -69.08 eV for the cell shown
Density: 9.560 g/cm³
Formation energy (no corrections): -1.36 eV/f.u.
D(E_F): 18.45 states/eV per cell

Cell lengths 2.9009, 8.8288, 7.7473 Å; angles 124.74, 100.79, 90.00 degrees
With the nearest neighbours (Å) after each atom.
Fractional positions:
Si1 0.6061 0.3570 0.2121  1 Ga 2.58, 1 Si 2.63
Si2 0.3939 0.6430 0.7879  1 Ga 2.58, 1 Si 2.63
Si3 0.3939 0.1449 0.7879  1 Ga 2.58, 1 Si 2.63
Si4 0.6061 0.8551 0.2121  1 Ga 2.58, 1 Si 2.63
Pu1 0.7771 0.7771 0.5542  2 Pu 2.90, 6 Si 3.02-3.06, 2 Ga 3.12
Pu2 0.0000 0.5000 0.0000  2 Pu 2.90, 8 Si 2.94
Pu3 0.2229 0.2229 0.4458  2 Pu 2.90, 6 Si 3.02-3.06, 2 Ga 3.12
Ga1 0.5000 0.0000 0.0000  4 Si 2.58